No. 1
Material: CaMgCl2
Method: DFT, GGA-PBE
State: relaxed

Offset from the most stable computed form: 0.3011 eV per atom
Formation energy from raw total energies: -4.83 eV per formula unit
Size of the total moment: 0.00 μB/f.u.
V: 31.359 Å³/atom

a = 10.329 Å, b = 10.329 Å, c = 10.329 Å
α = 21.13°, β = 21.13°, γ = 21.13°
Sites, in units of the cell vectors:
1 Ca 0.000 0.000 0.000
2 Mg 0.500 0.500 0.500
3 Cl 0.122 0.122 0.122
4 Cl 0.878 0.878 0.878

---

No. 2
Material: CaMgCl2
Method: DFT, GGA-PBE
State: relaxed

Offset from the most stable computed form: 0.0008 eV per atom
Formation energy from raw total energies: -6.03 eV per formula unit
Size of the total moment: 0.00 μB/f.u.
V: 36.662 Å³/atom

a = 3.994 Å, b = 3.994 Å, c = 10.725 Å
α = 97.01°, β = 97.01°, γ = 60.00°
Sites, in units of the cell vectors:
1 Ca 0.000 0.000 0.000
2 Mg 0.500 0.500 0.500
3 Cl 0.303 0.303 0.861
4 Cl 0.697 0.697 0.139